A relaxed NbAsPtO crystal, computed with GGA-PBE.

E above lowest polymorph, eV per formula unit: 0.00
Raw total energy, eV/atom: -7.236

Structure (CIF):
```
data_NbAsPtO
_cell_length_a 3.617
_cell_length_b 6.185
_cell_length_c 6.281
_cell_angle_alpha 90.00
_cell_angle_beta 90.00
_cell_angle_gamma 90.00
_space_group_name_H-M_alt 'P m c 21'
_space_group_IT_number 26
loop_
_space_group_symop_operation_xyz
'x,y,z'
'-x,-y,z+1/2'
'-x,y,z'
'x,-y,z+1/2'
loop_
_atom_site_label
_atom_site_type_symbol
_atom_site_fract_x
_atom_site_fract_y
_atom_site_fract_z
Nb1 Nb 0.000 0.128 0.000
As1 As 0.000 0.278 0.397
Pt1 Pt 0.500 0.213 0.658
O1 O 0.500 0.268 0.992
```

A relaxed NbAsPtO crystal, computed with GGA-PBE.

E above lowest polymorph, eV per formula unit: 1.97
Raw total energy, eV/atom: -6.743

Structure (CIF):
```
data_NbAsPtO
_cell_length_a 4.846
_cell_length_b 4.846
_cell_length_c 4.963
_cell_angle_alpha 90.00
_cell_angle_beta 90.00
_cell_angle_gamma 90.00
_space_group_name_H-M_alt 'P 4/n m m'
_space_group_IT_number 129
loop_
_space_group_symop_operation_xyz
'x,y,z'
'-x,-y,-z'
'-y+1/2,x,z'
'y+1/2,-x,-z'
'-x+1/2,-y+1/2,z'
'x+1/2,y+1/2,-z'
'y,-x+1/2,z'
'-y,x+1/2,-z'
'x+1/2,-y,-z'
'-x+1/2,y,z'
'-y,-x,-z'
'y,x,z'
'-x,y+1/2,-z'
'x,-y+1/2,z'
'y+1/2,x+1/2,-z'
'-y+1/2,-x+1/2,z'
loop_
_atom_site_label
_atom_site_type_symbol
_atom_site_fract_x
_atom_site_fract_y
_atom_site_fract_z
Nb1 Nb 0.250 0.750 0.000
As1 As 0.250 0.250 0.203
Pt1 Pt 0.250 0.250 0.696
O1 O 0.250 0.750 0.500
```

A relaxed NbAsPtO crystal, computed with GGA-PBE.

E above lowest polymorph, eV per formula unit: 0.09
Raw total energy, eV/atom: -7.213

Structure (CIF):
```
data_NbAsPtO
_cell_length_a 4.622
_cell_length_b 4.267
_cell_length_c 7.495
_cell_angle_alpha 90.00
_cell_angle_beta 90.00
_cell_angle_gamma 90.00
_space_group_name_H-M_alt 'P m c 21'
_space_group_IT_number 26
loop_
_space_group_symop_operation_xyz
'x,y,z'
'-x,-y,z+1/2'
'-x,y,z'
'x,-y,z+1/2'
loop_
_atom_site_label
_atom_site_type_symbol
_atom_site_fract_x
_atom_site_fract_y
_atom_site_fract_z
Nb1 Nb 0.000 0.069 0.000
As1 As 0.500 0.272 0.852
Pt1 Pt 0.500 0.254 0.527
O1 O 0.000 0.154 0.240
```